Density functional theory data (PBE-GGA) for a geometry-optimized CrFe2Si structure.

```
CrFe2Si
1.0
3.995 0.000 0.000
1.998 3.460 0.000
1.998 1.153 3.262
Cr Fe Si
1 2 1
Direct
0.500 0.500 0.500
0.000 0.000 0.000
0.250 0.250 0.250
0.750 0.750 0.750
```

## Properties
Total magnetization   2.0 μB/f.u.
E_form (uncorrected)   -0.229 eV per atom
Energy   -8.2221 eV/atom
Calculated density   7.1 Mg/m³
DOS at the Fermi energy   2.68 states/eV per cell